BMoP2Cl: single point on PBEsol structure, SCAN.

* ΔE_f (raw): 1011 meV per atom
* V: 69.20 Å³/cell
* energy: -13.21 eV per atom
* total magnetic moment: 2.14 μB per formula unit

Cell: 3.997 3.997 4.331 Å, 90.00 90.00 90.00°
Element x y z (fractional)
B  0.000  0.000  0.000
Mo  0.500  0.500  0.500
P  0.000  0.500  0.000
P  0.500  0.000  0.000
Cl  0.000  0.000  0.500